DFT (GGA-PBE) results for an optimized crystal structure of LiLa2Hg4.

Cell: 4.8772 4.8772 16.4025 Å, 90.00 90.00 90.00°
Atoms (fractional coordinates):
Li  0.0000  0.0000  0.0000
Li  0.5000  0.5000  0.5000
La  0.0000  0.0000  0.3593
La  0.0000  0.0000  0.6407
La  0.5000  0.5000  0.1407
La  0.5000  0.5000  0.8593
Hg  0.0000  0.0000  0.1652
Hg  0.0000  0.0000  0.8348
Hg  0.0000  0.5000  0.0000
Hg  0.0000  0.5000  0.5000
Hg  0.5000  0.0000  0.0000
Hg  0.5000  0.0000  0.5000
Hg  0.5000  0.5000  0.3348
Hg  0.5000  0.5000  0.6652

Computed properties:
The spin magnetization is 0.00 μB/f.u. The energy of formation comes out at -0.306 eV/atom. The volume comes out at 390.2 Å³ per cell. The value obtained for the energy relative to the lowest polymorph listed for this composition is 61 meV per atom. The total DFT energy (no corrections) comes out at -2.16 eV/atom.